# Na2LiUBr6

A relaxed Na2LiUBr6 crystal (PBE, the Alexandria database).

Cell: 7.193 7.644 12.861 Å, 90.00 121.87 90.00°
Space group P2_1/c (No. 14)
One atom of each set of equivalent atoms:
Na  0.200  0.087  0.238 [4 per cell]
Li  0.000  0.000  0.500 [2 per cell]
U  0.500  0.000  0.000 [2 per cell]
Br  0.106  0.197  0.931 [4 per cell]
Br  0.233  0.684  0.924 [4 per cell]
Br  0.395  0.056  0.750 [4 per cell]

Summary:
**Raw formation energy**: -136.1 kJ per mole of atoms
**VASP energy**: -79.96 eV/cell
**V**: 30.026 A^3/atom